[1]
## In4PtPb (PBE-GGA)

Data for a relaxed structure of In4PtPb.

Values from the calculation:
Size of the total moment: 0.00 Bohr magnetons per cell
Energy of formation: 0.304 eV per atom

Geometry as CIF:
```
data_In4PtPb
_chemical_formula_sum 'In16 Pt4 Pb4'
_cell_length_a 8.5147
_cell_length_b 8.5147
_cell_length_c 8.5147
_cell_angle_alpha 90.00
_cell_angle_beta 90.00
_cell_angle_gamma 90.00
_symmetry_space_group_name_H-M 'F -4 3 m'
_symmetry_Int_Tables_number 216
_symmetry_space_group_name_Hall 'F -4 2 3'
loop_
_atom_site_label
_atom_site_fract_x
_atom_site_fract_y
_atom_site_fract_z
In1 0.1243 0.1243 0.3757
Pt1 0.2500 0.2500 0.7500
Pb1 0.0000 0.0000 0.0000
```

=====

[2]
## CdFeS2 (PBE-GGA)

Data for a relaxed structure of CdFeS2.

Values from the calculation:
Formation energy from raw total energies: 0.02 eV/atom
Size of the total moment: 12.00 Bohr magnetons per cell

Geometry as CIF:
```
data_CdFeS2
_chemical_formula_sum 'Cd3 Fe3 S6'
_cell_length_a 3.9614
_cell_length_b 3.9614
_cell_length_c 21.5153
_cell_angle_alpha 90.00
_cell_angle_beta 90.00
_cell_angle_gamma 120.00
_symmetry_space_group_name_H-M 'R -3 m'
_symmetry_Int_Tables_number 166
_symmetry_space_group_name_Hall '-R 3 2"'
loop_
_atom_site_label
_atom_site_fract_x
_atom_site_fract_y
_atom_site_fract_z
Cd1 0.0000 0.0000 0.0000
Fe1 0.0000 0.0000 0.5000
S1 0.0000 0.0000 0.3998
```

=====

| no. | N(E_F) (states/eV per cell) | VASP energy (Ry per atom) |
| --- | --- | --- |
| 1 | 12.104 | -0.231 |
| 2 | 6.221 | -0.322 |